# 1
# KSbAu2Se4 | Alexandria via LeMat-Bulk | GGA-PBE | optimized geometry
data_KSbAu2Se4
_cell_length_a 6.745
_cell_length_b 8.565
_cell_length_c 8.930
_cell_angle_alpha 90.00
_cell_angle_beta 90.00
_cell_angle_gamma 90.00
_symmetry_space_group_name_H-M 'I 2 2 2'
_symmetry_Int_Tables_number 23
loop_
_symmetry_equiv_pos_as_xyz
'x,y,z'
'-x,-y,z'
'x,-y,-z'
'-x,y,-z'
'x+1/2,y+1/2,z+1/2'
'-x+1/2,-y+1/2,z+1/2'
'x+1/2,-y+1/2,-z+1/2'
'-x+1/2,y+1/2,-z+1/2'
loop_
_atom_site_label
_atom_site_fract_x
_atom_site_fract_y
_atom_site_fract_z
K1 0.000 0.000 0.000
Sb1 0.000 0.000 0.500
Au1 0.000 0.500 0.173
Se1 0.211 0.174 0.330
# **Formation energy (no corrections)**: -360 meV per atom


# 2
# Ta2BeCd | Alexandria via LeMat-Bulk | GGA-PBE | optimized geometry
data_Ta2BeCd
_cell_length_a 3.988
_cell_length_b 3.988
_cell_length_c 8.360
_cell_angle_alpha 90.00
_cell_angle_beta 90.00
_cell_angle_gamma 90.00
_symmetry_space_group_name_H-M 'I 4/m m m'
_symmetry_Int_Tables_number 139
_symmetry_space_group_name_Hall '-I 4 2'
loop_
_atom_site_label
_atom_site_fract_x
_atom_site_fract_y
_atom_site_fract_z
Ta1 0.000 0.500 0.250
Be1 0.000 0.000 0.000
Cd1 0.000 0.000 0.500
# **Formation energy from the elements**: 0.3243 eV per atom
# **Energy relative to the lowest polymorph listed for this composition**: 0.2104 eV per atom


# 3
# Mn2AlSn2 | Alexandria via LeMat-Bulk | GGA-PBE | optimized geometry
data_Mn2AlSn2
_cell_length_a 3.290
_cell_length_b 3.290
_cell_length_c 16.739
_cell_angle_alpha 90.00
_cell_angle_beta 90.00
_cell_angle_gamma 90.00
_symmetry_space_group_name_H-M 'I 4/m m m'
_symmetry_Int_Tables_number 139
_symmetry_space_group_name_Hall '-I 4 2'
loop_
_atom_site_label
_atom_site_fract_x
_atom_site_fract_y
_atom_site_fract_z
Mn1 0.000 0.500 0.250
Al1 0.000 0.000 0.000
Sn1 0.000 0.000 0.382
# **Formation energy from the elements**: 0.4124 eV per atom
# **Energy relative to the lowest polymorph listed for this composition**: 0.2696 eV per atom


# 4
# KBeFe2 | Alexandria via LeMat-Bulk | GGA-PBE | optimized geometry
data_KBeFe2
_cell_length_a 2.697
_cell_length_b 5.571
_cell_length_c 9.810
_cell_angle_alpha 90.00
_cell_angle_beta 90.00
_cell_angle_gamma 90.00
_symmetry_space_group_name_H-M 'I m m 2'
_symmetry_Int_Tables_number 44
loop_
_symmetry_equiv_pos_as_xyz
'x,y,z'
'-x,-y,z'
'-x,y,z'
'x,-y,z'
'x+1/2,y+1/2,z+1/2'
'-x+1/2,-y+1/2,z+1/2'
'-x+1/2,y+1/2,z+1/2'
'x+1/2,-y+1/2,z+1/2'
loop_
_atom_site_label
_atom_site_fract_x
_atom_site_fract_y
_atom_site_fract_z
K1 0.000 0.000 0.000
Be1 0.000 0.500 0.809
Fe1 0.000 0.000 0.495
Fe2 0.000 0.500 0.186
# **Formation energy from the elements**: 1.0154 eV per atom


# 5
# La5Pt | Alexandria via LeMat-Bulk | GGA-PBE | optimized geometry
data_La5Pt
_cell_length_a 6.1419
_cell_length_b 6.1419
_cell_length_c 5.9761
_cell_angle_alpha 90.00
_cell_angle_beta 90.00
_cell_angle_gamma 120.00
_symmetry_space_group_name_H-M 'P 6/m m m'
_symmetry_Int_Tables_number 191
_symmetry_space_group_name_Hall '-P 6 2'
loop_
_atom_site_label
_atom_site_fract_x
_atom_site_fract_y
_atom_site_fract_z
La1 0.0000 0.5000 0.0000
La2 0.3333 0.6667 0.5000
Pt1 0.0000 0.0000 0.5000
# **Formation energy from the elements**: 0.4817 eV per atom
# **Energy relative to the lowest polymorph listed for this composition**: 0.8358 eV per atom


# 6
# KFeBr2 | Alexandria via LeMat-Bulk | GGA-PBE | optimized geometry
data_KFeBr2
_cell_length_a 5.2248
_cell_length_b 5.2248
_cell_length_c 22.6387
_cell_angle_alpha 90.00
_cell_angle_beta 90.00
_cell_angle_gamma 120.00
_symmetry_space_group_name_H-M 'R -3 m'
_symmetry_Int_Tables_number 166
_symmetry_space_group_name_Hall '-R 3 2"'
loop_
_atom_site_label
_atom_site_fract_x
_atom_site_fract_y
_atom_site_fract_z
K1 0.0000 0.0000 0.0000
Fe1 0.0000 0.0000 0.5000
Br1 0.0000 0.0000 0.3977
# **Formation energy (no corrections)**: -534 meV per atom
# **Energy relative to the lowest polymorph listed for this composition**: 0.0947 eV per atom


# 7
# Er8Ge3Te4S | Alexandria via LeMat-Bulk | GGA-PBE | optimized geometry
data_Er8Ge3Te4S
_cell_length_a 8.3351
_cell_length_b 8.3351
_cell_length_c 20.9769
_cell_angle_alpha 90.00
_cell_angle_beta 90.00
_cell_angle_gamma 120.00
_symmetry_space_group_name_H-M 'R -3 m'
_symmetry_Int_Tables_number 166
_symmetry_space_group_name_Hall '-R 3 2"'
loop_
_atom_site_label
_atom_site_fract_x
_atom_site_fract_y
_atom_site_fract_z
Er1 0.0000 0.0000 0.2399
Er2 0.0031 0.5015 0.7610
Ge1 0.0000 0.5000 0.5000
Te1 0.0000 0.0000 0.0000
Te2 0.0000 0.5000 0.0000
S1 0.0000 0.0000 0.5000
# **Formation energy (no corrections)**: -1296 meV per atom


# 8
# MgFeBiMo2 | Alexandria via LeMat-Bulk | GGA-PBE | optimized geometry
data_MgFeBiMo2
_cell_length_a 4.582
_cell_length_b 4.582
_cell_length_c 4.908
_cell_angle_alpha 90.00
_cell_angle_beta 90.00
_cell_angle_gamma 90.00
_symmetry_space_group_name_H-M 'P 4/m m m'
_symmetry_Int_Tables_number 123
_symmetry_space_group_name_Hall '-P 4 2'
loop_
_atom_site_label
_atom_site_fract_x
_atom_site_fract_y
_atom_site_fract_z
Mg1 0.000 0.000 0.000
Fe1 0.500 0.500 0.500
Bi1 0.500 0.500 0.000
Mo1 0.000 0.500 0.500
# **Formation energy from the elements**: 1.0635 eV per atom